First-principles (GGA-PBE) data for crystalline LiLa2CoAu at its relaxed geometry, as listed in the Alexandria database.

Cell lengths 5.1503, 5.1503, 5.0669 Å; angles 90.00, 90.00, 90.00 degrees
Atoms (fractional coordinates):
1 Li 0.0000 0.0000 0.0000
2 La 0.0000 0.5000 0.5000
3 La 0.5000 0.0000 0.5000
4 Co 0.5000 0.5000 0.5000
5 Au 0.5000 0.5000 0.0000

The uncorrected energy comes out at -23.0 eV per cell. As for the volume: 134 Å³ per cell. The formation energy comes out at -162 meV/atom. As for the total magnetization: 0.000 μB per atom.

---

First-principles (GGA-PBE) data for crystalline LiLa2CoAu at its relaxed geometry, as listed in the Alexandria database.

Cell lengths 5.1728, 5.1728, 4.6746 Å; angles 90.00, 90.00, 90.00 degrees
Atoms (fractional coordinates):
1 Li 0.0000 0.0000 0.0000
2 La 0.0000 0.5000 0.5000
3 La 0.5000 0.0000 0.5000
4 Co 0.0000 0.0000 0.5000
5 Au 0.5000 0.5000 0.0000

The uncorrected energy comes out at -23.3 eV per cell. As for the volume: 125 Å³ per cell. The formation energy comes out at -222 meV/atom. As for the total magnetization: 0.000 μB per atom.

---

First-principles (GGA-PBE) data for crystalline La2CoAuN at its relaxed geometry, as listed in the Alexandria database.

Cell lengths 5.3068, 5.3068, 3.6388 Å; angles 90.00, 90.00, 90.00 degrees
Atoms (fractional coordinates):
1 La 0.0000 0.5000 0.0000
2 La 0.5000 0.0000 0.0000
3 Co 0.0000 0.0000 0.5000
4 Au 0.5000 0.5000 0.5000
5 N 0.0000 0.0000 0.0000

The uncorrected energy comes out at -32.6 eV per cell. As for the volume: 102 Å³ per cell. For the uncorrected formation energy, the calculation gives -0.806 eV per atom. As for the total magnetization: 0.039 μB per atom.

---

Please write out number 2 again, unchanged.
First-principles (GGA-PBE) data for crystalline LiLa2CoAu at its relaxed geometry, as listed in the Alexandria database.

Cell lengths 5.1728, 5.1728, 4.6746 Å; angles 90.00, 90.00, 90.00 degrees
Atoms (fractional coordinates):
1 Li 0.0000 0.0000 0.0000
2 La 0.0000 0.5000 0.5000
3 La 0.5000 0.0000 0.5000
4 Co 0.0000 0.0000 0.5000
5 Au 0.5000 0.5000 0.0000

The uncorrected energy comes out at -23.3 eV per cell. As for the volume: 125 Å³ per cell. The formation energy comes out at -222 meV/atom. As for the total magnetization: 0.000 μB per atom.